Record 1
VGa | the Alexandria database | PBE-GGA | optimized geometry; calculated volume = 78.7 Å³ per cell; energy of formation = 138 kJ/mol of formula units; DOS(E_F) = 0.581 states/eV per atom
1.0
4.297 0.000 0.000
-2.149 3.721 0.000
0.000 0.000 4.923
V Ga
2 2
Cartesian
0.000 2.481 1.231 V
2.149 1.240 3.692 V
0.000 2.481 3.692 Ga
2.149 1.240 1.231 Ga

Record 2
VGa | the Alexandria database | PBE-GGA | optimized geometry; calculated volume = 177.9 Å³ per cell; energy of formation = 267 kJ/mol of formula units; DOS(E_F) = 1.155 states/eV per atom
1.0
5.624 0.000 0.000
0.000 5.624 0.000
0.000 0.000 5.624
V Ga
4 4
Cartesian
0.000 0.000 0.000 V
0.000 2.812 2.812 V
2.812 0.000 2.812 V
2.812 2.812 0.000 V
1.406 1.406 4.218 Ga
1.406 4.218 1.406 Ga
4.218 1.406 1.406 Ga
4.218 4.218 4.218 Ga

What did we get for mass density? Answer: 5.09; 4.51 g/cm3, in the order shown.